[1]
GGA-PBE AcPa2Tc, optimized geometry; total magnetic moment = 0.000 μB per atom; symmetry = R-3m; formation energy from the elements = 177 meV per atom; energy relative to the lowest polymorph listed for this composition = 55 meV per atom
1.0
1.924 1.111 9.122
-1.924 1.111 9.122
0.000 -2.222 9.122
Ac Pa Tc
1 2 1
Direct
0.000 0.000 0.000
0.224 0.224 0.224
0.776 0.776 0.776
0.500 0.500 0.500

***

[2]
GGA-PBE AcPaTc2, optimized geometry; total magnetic moment = 0.000 μB per atom; symmetry = Fm-3m; formation energy from the elements = 314 meV per atom; energy relative to the lowest polymorph listed for this composition = 268 meV per atom
1.0
0.000 3.561 3.561
3.561 0.000 3.561
3.561 3.561 0.000
Ac Pa Tc
1 1 2
Direct
0.000 0.000 0.000
0.500 0.500 0.500
0.250 0.250 0.250
0.750 0.750 0.750

***

[3]
GGA-PBE AcPa2Tc, optimized geometry; total magnetic moment = 0.000 μB per atom; symmetry = P4/mmm; formation energy from the elements = 122 meV per atom; energy relative to the lowest polymorph listed for this composition = 0 meV per atom
1.0
3.584 0.000 0.000
0.000 3.584 0.000
0.000 0.000 8.224
Ac Pa Tc
1 2 1
Direct
0.000 0.000 0.000
0.500 0.500 0.318
0.500 0.500 0.682
0.000 0.000 0.500

***

> What is the total magnetic moment in the third record?

0.000 μB per atom